TiCd3Br: relaxed, GGA-PBEsol.

Unit cell a=5.3160 b=5.3160 c=5.3160 alpha=90.00 beta=90.00 gamma=90.00
Each line ends with the local moment (μB).
Element x y z (fractional)
1 Br 0.0000 0.0000 0.0000  0.07
2 Cd 0.5000 0.0000 0.0000  0.00
3 Cd 0.0000 0.5000 0.0000  0.00
4 Cd 0.0000 0.0000 0.5000  0.00
5 Ti 0.5000 0.5000 0.5000  1.89

**V**: 30.05 Å³/atom
**Formation energy from raw total energies**: 1.033 eV/atom